Entry 1:
The following is a GGA-PBEsol calculation of a geometry-optimized AlCuGeRu2 structure, from the Alexandria database.

The volume comes out at 17.8 Å³/atom. The calculation puts the calculated density at 6.8 Mg/m³. For the density of states at the Fermi level, the calculation gives 0.875 states/eV/atom. The calculated formation energy comes out at 1.2052 eV/atom. The electronic total energy comes out at -5.54 eV per atom.

The structure belongs to space group P4/mmm (No. 123); the cell edges are 4.4597, 4.4597 and 4.4642 Å and the angles 90.00°, 90.00° and 90.00°. The inequivalent atoms are Al at (0.0000, 0.0000, 0.0000), Cu at (0.5000, 0.5000, 0.0000), Ge at (0.0000, 0.0000, 0.5000) and Ru at (0.0000, 0.5000, 0.5000).



Entry 2:
The following is a GGA-PBEsol calculation of a geometry-optimized MgFe4CoO8 structure, from the Alexandria database.

The volume comes out at 9.5 Å³/atom. The calculation puts the calculated density at 5.4 Mg/m³. For the density of states at the Fermi level, the calculation gives 0.641 states/eV/atom. The calculation puts the formation energy (no corrections) at -1.377 eV/atom. The electronic total energy comes out at -7.61 eV per atom.

The structure belongs to space group R3m (No. 160, hexagonal axes); the cell edges are 5.6551, 5.6551 and 14.3460 Å and the angles 90.00°, 90.00° and 120.00°. The inequivalent atoms are Mg at (0.0000, 0.0000, 0.0000), Fe at (0.0000, 0.0000, 0.3777), Fe at (0.9999, 0.5000, 0.5013), Co at (0.0000, 0.0000, 0.6260), O at (0.0000, 0.0000, 0.2410), O at (0.0000, 0.0000, 0.7612), O at (0.0213, 0.5106, 0.7595) and O at (0.1763, 0.3527, 0.5740).



Question: Look up the calculated density of the first one.
Answer: 6.8 Mg/m³



Copy entry 2 word for word.
The following is a GGA-PBEsol calculation of a geometry-optimized MgFe4CoO8 structure, from the Alexandria database.

The volume comes out at 9.5 Å³/atom. The calculation puts the calculated density at 5.4 Mg/m³. For the density of states at the Fermi level, the calculation gives 0.641 states/eV/atom. The calculation puts the formation energy (no corrections) at -1.377 eV/atom. The electronic total energy comes out at -7.61 eV per atom.

The structure belongs to space group R3m (No. 160, hexagonal axes); the cell edges are 5.6551, 5.6551 and 14.3460 Å and the angles 90.00°, 90.00° and 120.00°. The inequivalent atoms are Mg at (0.0000, 0.0000, 0.0000), Fe at (0.0000, 0.0000, 0.3777), Fe at (0.9999, 0.5000, 0.5013), Co at (0.0000, 0.0000, 0.6260), O at (0.0000, 0.0000, 0.2410), O at (0.0000, 0.0000, 0.7612), O at (0.0213, 0.5106, 0.7595) and O at (0.1763, 0.3527, 0.5740).